[1]
Below is a relaxed structure of Li3Sc2Tl3, with properties calculated at the PBE level.

Values from the calculation:
E_tot = -3.416 eV/atom
Energy of formation = -0.228 eV per atom
Spin magnetization = 0.00 μB/f.u.

POSCAR file:
```
Li3Sc2Tl3
1.0
4.7201 0.0000 1.4225
2.1457 4.2042 1.4225
-0.0069 -0.0042 8.5651
Li Tl Sc
3 3 2
Cartesian
1.7088 1.0463 2.8723
4.2837 2.6231 2.8704
5.1387 3.1467 8.5756
2.5145 1.5398 8.7408
6.0579 3.7095 5.5255
0.8632 0.5286 5.6779
0.0204 0.0125 8.4747
3.4118 2.0892 5.7634
```

=====

[2]
Below is a relaxed structure of Li3ScTl3, with properties calculated at the PBE level.

Values from the calculation:
E_tot = -2.398 eV/atom
Energy of formation = 0.341 eV per atom
Spin magnetization = 0.00 μB/f.u.
Offset from the most stable computed form = 0.4744 eV/atom

POSCAR file:
```
Li3ScTl3
1.0
7.1347 0.0000 0.0000
0.0000 7.1347 0.0000
0.0000 0.0000 7.1347
Li Tl Sc
6 6 2
Cartesian
5.3511 3.5674 0.0000
0.0000 5.3511 3.5674
3.5674 0.0000 1.7837
3.5674 0.0000 5.3511
0.0000 1.7837 3.5674
1.7837 3.5674 0.0000
3.5674 1.7837 0.0000
1.7837 0.0000 3.5674
0.0000 3.5674 1.7837
5.3511 0.0000 3.5674
3.5674 5.3511 0.0000
0.0000 3.5674 5.3511
3.5674 3.5674 3.5674
0.0000 0.0000 0.0000
```

=====

[3]
Below is a relaxed structure of LiScTl, with properties calculated at the PBE level.

Values from the calculation:
E_tot = -3.648 eV/atom
Energy of formation = -0.111 eV per atom
Spin magnetization = 0.31 μB/f.u.
Offset from the most stable computed form = 0.1286 eV/atom

POSCAR file:
```
LiScTl
1.0
-0.9641 3.9990 3.2187
-4.9625 0.4333 1.5708
4.1550 -3.1647 -0.0422
Sc Li Tl
1 1 1
Cartesian
-1.9495 1.4580 1.5755
-0.0102 0.0076 0.0082
-3.9669 2.9668 3.2058
```

=====

[4]
Below is a relaxed structure of LiScTl2, with properties calculated at the PBE level.

Values from the calculation:
E_tot = -3.334 eV/atom
Energy of formation = -0.089 eV per atom
Spin magnetization = 0.27 μB/f.u.
Offset from the most stable computed form = 0.1885 eV/atom

POSCAR file:
```
LiScTl2
1.0
3.3632 0.0000 0.0000
0.0000 4.7586 0.0000
0.0000 0.0000 6.0766
Sc Tl Li
1 2 1
Cartesian
1.6816 2.3793 4.8182
1.6816 2.3793 1.7999
0.0000 0.0000 5.7347
0.0000 0.0000 2.8387
```

=====

[5]
Below is a relaxed structure of Li3Sc2Tl2, with properties calculated at the PBE level.

Values from the calculation:
E_tot = -3.451 eV/atom
Energy of formation = -0.146 eV per atom
Spin magnetization = 0.00 μB/f.u.

POSCAR file:
```
Li3Sc2Tl2
1.0
4.8717 0.0274 -1.2053
-2.7239 4.2021 -0.3304
0.2097 -0.4168 7.2396
Li Tl Sc
3 2 2
Cartesian
1.7507 3.2065 3.1855
0.0000 0.0000 0.0000
0.6068 0.6063 2.5183
2.7236 1.8740 0.8762
-0.3661 1.9388 4.8276
2.3319 0.7452 5.3136
0.0256 3.0676 0.3902
```

=====

[6]
Below is a relaxed structure of LiSc3Tl4, with properties calculated at the PBE level.

Values from the calculation:
E_tot = -4.049 eV/atom
Energy of formation = -0.252 eV per atom
Spin magnetization = 0.41 μB/f.u.

POSCAR file:
```
LiSc3Tl4
1.0
-3.6460 -3.2786 1.1450
2.1355 -3.4259 -3.0094
4.6735 0.9301 6.4736
Tl Sc Li
4 3 1
Cartesian
0.1925 -3.9373 0.4105
2.9705 -1.8371 4.1987
2.2143 -5.1877 3.2679
0.9487 -0.5866 1.3413
1.0678 -1.7129 -1.5047
0.1382 -2.8511 3.3473
3.0249 -2.9232 1.2618
-1.8230 -1.6393 0.5725
```

=====

[7]
Below is a relaxed structure of Li2ScTl, with properties calculated at the PBE level.

Values from the calculation:
E_tot = -3.237 eV/atom
Energy of formation = -0.105 eV per atom
Spin magnetization = 0.00 μB/f.u.

POSCAR file:
```
Li2ScTl
1.0
-3.9106 -1.1043 -3.4162
-1.0555 -1.8078 -4.8785
-0.6767 -5.0158 1.0919
Sc Tl Li
1 1 2
Cartesian
-4.2320 -5.9460 -5.4021
-1.4107 -1.9820 -1.8007
-2.8476 -3.8976 -3.6846
-4.9398 -2.9786 -8.2115
```

=====

[8]
Below is a relaxed structure of LiScTl, with properties calculated at the PBE level.

Values from the calculation:
E_tot = -3.463 eV/atom
Energy of formation = 0.074 eV per atom
Spin magnetization = 0.23 μB/f.u.
Offset from the most stable computed form = 0.3138 eV/atom

POSCAR file:
```
LiScTl
1.0
6.5195 -0.5636 1.2529
3.8628 2.9719 0.1935
-0.6036 0.5622 3.3914
Sc Tl Li
1 1 1
Cartesian
1.9314 1.4859 0.0968
-0.3018 0.2811 1.6957
5.1911 1.2042 0.7232
```